Record 1
## TaCu2Rh3 (GGA-PBE)

Data for a relaxed structure of TaCu2Rh3.

DOS(E_F): 19.2 states/eV per cell
ΔH_f (0 K): -293 meV/atom
E_tot: -7.31 eV per atom

Unit cell a=4.404 b=13.176 c=5.869 alpha=90.00 beta=90.00 gamma=90.00
Space group Cmmm (No. 65)
Unique sites:
1 Ta 0.000 0.159 0.000
2 Cu 0.000 0.169 0.500
3 Cu 0.000 0.500 0.000
4 Cu 0.000 0.500 0.500
5 Rh 0.000 0.000 0.262
6 Rh 0.000 0.332 0.253

---

Record 2
## TaCuRh2 (GGA-PBE)

Data for a relaxed structure of TaCuRh2.

DOS(E_F): 15.4 states/eV per cell
ΔH_f (0 K): -143 meV/atom
E_tot: -7.81 eV per atom

Unit cell a=2.8277 b=2.8277 c=25.9601 alpha=90.00 beta=90.00 gamma=120.00
Space group R-3m (No. 166, hexagonal axes)
Unique sites:
1 Ta 0.0000 0.0000 0.0000
2 Cu 0.0000 0.0000 0.5000
3 Rh 0.0000 0.0000 0.2488

---

Record 3
## TaCu3Rh (GGA-PBE)

Data for a relaxed structure of TaCu3Rh.

DOS(E_F): 6.4 states/eV per cell
Energy above the lowest structure with this stoichiometry: 0.0 kJ/mol of formula units
ΔH_f (0 K): 1389 meV/atom
E_tot: -4.91 eV per atom

Unit cell a=4.475 b=4.475 c=4.475 alpha=90.00 beta=90.00 gamma=90.00
Space group Pm-3m (No. 221)
Unique sites:
1 Ta 0.000 0.000 0.000
2 Cu 0.000 0.500 0.500
3 Rh 0.500 0.500 0.500

---

Record 4
## TaCuRh2 (GGA-PBE)

Data for a relaxed structure of TaCuRh2.

DOS(E_F): 7.4 states/eV per cell
ΔH_f (0 K): -232 meV/atom
E_tot: -7.89 eV per atom

Unit cell a=8.745 b=2.812 c=4.847 alpha=90.00 beta=99.55 gamma=90.00
Space group C2/m (No. 12)
Unique sites:
1 Ta 0.000 0.000 0.000
2 Cu 0.000 0.500 0.500
3 Rh 0.248 0.000 0.739

---

Record 5
## TaTiCuRh (GGA-PBE)

Data for a relaxed structure of TaTiCuRh.

DOS(E_F): 19.2 states/eV per cell
ΔH_f (0 K): -192 meV/atom
E_tot: -7.99 eV per atom

Unit cell a=6.272 b=6.272 c=6.272 alpha=90.00 beta=90.00 gamma=90.00
Space group F-43m (No. 216)
Unique sites:
1 Ta 0.000 0.000 0.000
2 Ti 0.000 0.000 0.500
3 Cu 0.250 0.250 0.250
4 Rh 0.250 0.250 0.750

---

Record 6
## TaTlCuRh2 (GGA-PBE)

Data for a relaxed structure of TaTlCuRh2.

DOS(E_F): 7.5 states/eV per cell
ΔH_f (0 K): 989 meV/atom
E_tot: -5.61 eV per atom

Unit cell a=4.588 b=4.588 c=4.572 alpha=90.00 beta=90.00 gamma=90.00
Space group P4/mmm (No. 123)
Unique sites:
1 Ta 0.000 0.000 0.000
2 Tl 0.500 0.500 0.000
3 Cu 0.000 0.000 0.500
4 Rh 0.000 0.500 0.500

---

Record 7
## TaTl2CuRh (GGA-PBE)

Data for a relaxed structure of TaTl2CuRh.

DOS(E_F): 5.6 states/eV per cell
ΔH_f (0 K): 1171 meV/atom
E_tot: -4.44 eV per atom

Unit cell a=4.777 b=4.777 c=4.859 alpha=90.00 beta=90.00 gamma=90.00
Space group P4/mmm (No. 123)
Unique sites:
1 Ta 0.000 0.000 0.000
2 Tl 0.000 0.500 0.500
3 Cu 0.000 0.000 0.500
4 Rh 0.500 0.500 0.000

---

Record 8
## TaVCuRh (GGA-PBE)

Data for a relaxed structure of TaVCuRh.

DOS(E_F): 15.0 states/eV per cell
ΔH_f (0 K): -98 meV/atom
E_tot: -8.20 eV per atom

Unit cell a=6.168 b=6.168 c=6.168 alpha=90.00 beta=90.00 gamma=90.00
Space group F-43m (No. 216)
Unique sites:
1 Ta 0.000 0.000 0.000
2 V 0.250 0.250 0.250
3 Cu 0.000 0.000 0.500
4 Rh 0.250 0.250 0.750